This record from Alexandria describes a relaxed structure of CsLuTl2. The functional is PBE.

CIF file:
```
data_CsLuTl2
_symmetry_space_group_name_H-M 'P 4/m m m'
_symmetry_Int_Tables_number 123
_symmetry_space_group_name_Hall '-P 4 2'
_cell_length_a 3.871
_cell_length_b 3.871
_cell_length_c 9.249
_cell_angle_alpha 90.00
_cell_angle_beta 90.00
_cell_angle_gamma 90.00
loop_
_atom_site_label
_atom_site_fract_x
_atom_site_fract_y
_atom_site_fract_z
Cs1 0.000 0.000 0.000
Lu1 0.000 0.000 0.500
Tl1 0.500 0.500 0.312
```

Calculated values
ΔE_f ... -0.142 eV/atom
Crystal system ... tetragonal

This record from Alexandria describes a relaxed structure of Eu2DyCd. The functional is PBE.

CIF file:
```
data_Eu2DyCd
_symmetry_space_group_name_H-M 'F m -3 m'
_symmetry_Int_Tables_number 225
_symmetry_space_group_name_Hall '-F 4 2 3'
_cell_length_a 8.034
_cell_length_b 8.034
_cell_length_c 8.034
_cell_angle_alpha 90.00
_cell_angle_beta 90.00
_cell_angle_gamma 90.00
loop_
_atom_site_label
_atom_site_fract_x
_atom_site_fract_y
_atom_site_fract_z
Eu1 0.250 0.250 0.250
Dy1 0.000 0.000 0.000
Cd1 0.000 0.000 0.500
```

Calculated values
ΔE_f ... 0.017 eV/atom
Crystal system ... cubic

What are the E_tot values for these records? In order: -10.7, -104.0 eV/cell.
What are the total magnetic moment values for these records? In order: 0.00, 14.56 μB/f.u..